An optimized crystal structure of LaVPtF2. Source: the Alexandria database, functional PBE with a Hubbard U.

It has space group P4/mmm (No. 123), with a = 4.088 Å, b = 4.088 Å, c = 5.379 Å, α = 90.00°, β = 90.00° and γ = 90.00°. The asymmetric unit holds La at (0.000, 0.000, 0.000), V at (0.500, 0.500, 0.500), Pt at (0.500, 0.500, 0.000) and F at (0.000, 0.500, 0.500).

The value obtained for the total energy is -5.823 eV per atom. The calculation puts the spin magnetization at 0.00 μB per formula unit. The calculation puts the calculated density at 7.812 g/cm3.